Record 1
# PBE La2Mo2Au, optimized geometry
data_La2Mo2Au
_space_group_name_H-M_alt 'P 1'
_space_group_IT_number 1
_cell_length_a 5.7495
_cell_length_b 5.7495
_cell_length_c 5.6250
_cell_angle_alpha 59.26
_cell_angle_beta 59.26
_cell_angle_gamma 90.00
loop_
_space_group_symop_operation_xyz
'x,y,z'
loop_
_atom_site_label
_atom_site_type_symbol
_atom_site_fract_x
_atom_site_fract_y
_atom_site_fract_z
Mo1 Mo 0.3518 0.3518 0.2965
Mo2 Mo 0.6482 0.6482 0.7035
Au1 Au 0.0000 0.0000 0.0000
La1 La 0.7500 0.2500 0.5000
La2 La 0.2500 0.7500 0.5000
# polymorph energy (0 for the lowest one)	513.5	meV per atom
# magnetization	0.0	μB/f.u.
# E_tot	-6.38	eV per atom
# formation enthalpy at 0 K	2.9	eV per formula unit


Record 2
# PBE LaMoAu2, optimized geometry
data_LaMoAu2
_space_group_name_H-M_alt 'P 1'
_space_group_IT_number 1
_cell_length_a 4.5094
_cell_length_b 4.5094
_cell_length_c 4.1649
_cell_angle_alpha 90.00
_cell_angle_beta 90.00
_cell_angle_gamma 90.00
loop_
_space_group_symop_operation_xyz
'x,y,z'
loop_
_atom_site_label
_atom_site_type_symbol
_atom_site_fract_x
_atom_site_fract_y
_atom_site_fract_z
Au1 Au 0.0000 0.0000 0.0000
Au2 Au 0.5000 0.5000 0.0000
La1 La 0.5000 0.0000 0.5000
Mo1 Mo 0.0000 0.5000 0.5000
# polymorph energy (0 for the lowest one)	0.0	meV per atom
# magnetization	1.6	μB/f.u.
# E_tot	-5.55	eV per atom
# formation enthalpy at 0 K	0.1	eV per formula unit


Record 3
# PBE LaMoAu2, optimized geometry
data_LaMoAu2
_space_group_name_H-M_alt 'P 1'
_space_group_IT_number 1
_cell_length_a 4.8980
_cell_length_b 3.1959
_cell_length_c 5.3285
_cell_angle_alpha 89.13
_cell_angle_beta 90.00
_cell_angle_gamma 90.00
loop_
_space_group_symop_operation_xyz
'x,y,z'
loop_
_atom_site_label
_atom_site_type_symbol
_atom_site_fract_x
_atom_site_fract_y
_atom_site_fract_z
Au1 Au 0.0000 0.1176 0.9378
Au2 Au 0.5000 0.1220 0.2783
La1 La 0.0000 0.6158 0.4506
Mo1 Mo 0.5000 0.6445 0.8332
# polymorph energy (0 for the lowest one)	17.7	meV per atom
# magnetization	0.7	μB/f.u.
# E_tot	-5.54	eV per atom
# formation enthalpy at 0 K	0.2	eV per formula unit


Record 4
# PBE LaMoAu, optimized geometry
data_LaMoAu
_space_group_name_H-M_alt 'P 1'
_space_group_IT_number 1
_cell_length_a 6.0743
_cell_length_b 6.0743
_cell_length_c 6.0743
_cell_angle_alpha 149.20
_cell_angle_beta 143.33
_cell_angle_gamma 48.62
loop_
_space_group_symop_operation_xyz
'x,y,z'
loop_
_atom_site_label
_atom_site_type_symbol
_atom_site_fract_x
_atom_site_fract_y
_atom_site_fract_z
Au1 Au 0.0323 0.0323 0.0000
La1 La 0.3319 0.3319 0.0000
Mo1 Mo 0.6358 0.6358 0.0000
# polymorph energy (0 for the lowest one)	85.6	meV per atom
# magnetization	0.0	μB/f.u.
# E_tot	-6.08	eV per atom
# formation enthalpy at 0 K	0.8	eV per formula unit


Record 5
# PBE LaMoAu, optimized geometry
data_LaMoAu
_space_group_name_H-M_alt 'P 1'
_space_group_IT_number 1
_cell_length_a 4.8980
_cell_length_b 4.8980
_cell_length_c 4.8980
_cell_angle_alpha 60.00
_cell_angle_beta 60.00
_cell_angle_gamma 60.00
loop_
_space_group_symop_operation_xyz
'x,y,z'
loop_
_atom_site_label
_atom_site_type_symbol
_atom_site_fract_x
_atom_site_fract_y
_atom_site_fract_z
Au1 Au 0.2500 0.2500 0.2500
La1 La 0.0000 0.0000 0.0000
Mo1 Mo 0.5000 0.5000 0.5000
# polymorph energy (0 for the lowest one)	353.7	meV per atom
# magnetization	3.6	μB/f.u.
# E_tot	-5.81	eV per atom
# formation enthalpy at 0 K	1.6	eV per formula unit


Record 6
# PBE La2MoAu, optimized geometry
data_La2MoAu
_space_group_name_H-M_alt 'P 1'
_space_group_IT_number 1
_cell_length_a 9.8115
_cell_length_b 9.8115
_cell_length_c 9.8115
_cell_angle_alpha 20.70
_cell_angle_beta 20.70
_cell_angle_gamma 20.70
loop_
_space_group_symop_operation_xyz
'x,y,z'
loop_
_atom_site_label
_atom_site_type_symbol
_atom_site_fract_x
_atom_site_fract_y
_atom_site_fract_z
Au1 Au 0.7598 0.7598 0.7598
La1 La 0.0108 0.0108 0.0108
La2 La 0.2359 0.2359 0.2359
Mo1 Mo 0.4935 0.4935 0.4935
# polymorph energy (0 for the lowest one)	452.2	meV per atom
# magnetization	1.1	μB/f.u.
# E_tot	-5.58	eV per atom
# formation enthalpy at 0 K	1.6	eV per formula unit


Record 7
# PBE La2Mo2Au, optimized geometry
data_La2Mo2Au
_space_group_name_H-M_alt 'P 1'
_space_group_IT_number 1
_cell_length_a 3.6834
_cell_length_b 3.6834
_cell_length_c 9.5641
_cell_angle_alpha 78.90
_cell_angle_beta 78.90
_cell_angle_gamma 90.00
loop_
_space_group_symop_operation_xyz
'x,y,z'
loop_
_atom_site_label
_atom_site_type_symbol
_atom_site_fract_x
_atom_site_fract_y
_atom_site_fract_z
Mo1 Mo 0.7500 0.2500 0.5000
Mo2 Mo 0.2500 0.7500 0.5000
Au1 Au 0.0000 0.0000 0.0000
La1 La 0.3938 0.3938 0.2123
La2 La 0.6062 0.6062 0.7877
# polymorph energy (0 for the lowest one)	0.0	meV per atom
# magnetization	0.0	μB/f.u.
# E_tot	-6.89	eV per atom
# formation enthalpy at 0 K	0.3	eV per formula unit


Record 8
# PBE LaMoAu2, optimized geometry
data_LaMoAu2
_space_group_name_H-M_alt 'P 1'
_space_group_IT_number 1
_cell_length_a 4.7834
_cell_length_b 4.7834
_cell_length_c 9.7591
_cell_angle_alpha 75.81
_cell_angle_beta 75.81
_cell_angle_gamma 90.00
loop_
_space_group_symop_operation_xyz
'x,y,z'
loop_
_atom_site_label
_atom_site_type_symbol
_atom_site_fract_x
_atom_site_fract_y
_atom_site_fract_z
Mo1 Mo 0.5000 0.5000 0.0000
Mo2 Mo 0.2500 0.7500 0.5000
Au1 Au 0.5349 0.1250 0.2500
Au2 Au 0.2151 0.6250 0.2500
Au3 Au 0.3750 0.4651 0.7500
Au4 Au 0.8750 0.7849 0.7500
La1 La 0.0000 0.0000 0.0000
La2 La 0.7500 0.2500 0.5000
# polymorph energy (0 for the lowest one)	342.3	meV per atom
# magnetization	2.3	μB/f.u.
# E_tot	-5.21	eV per atom
# formation enthalpy at 0 K	1.5	eV per formula unit


Please write out number 4 again, unchanged.
# PBE LaMoAu, optimized geometry
data_LaMoAu
_space_group_name_H-M_alt 'P 1'
_space_group_IT_number 1
_cell_length_a 6.0743
_cell_length_b 6.0743
_cell_length_c 6.0743
_cell_angle_alpha 149.20
_cell_angle_beta 143.33
_cell_angle_gamma 48.62
loop_
_space_group_symop_operation_xyz
'x,y,z'
loop_
_atom_site_label
_atom_site_type_symbol
_atom_site_fract_x
_atom_site_fract_y
_atom_site_fract_z
Au1 Au 0.0323 0.0323 0.0000
La1 La 0.3319 0.3319 0.0000
Mo1 Mo 0.6358 0.6358 0.0000
# polymorph energy (0 for the lowest one)	85.6	meV per atom
# magnetization	0.0	μB/f.u.
# E_tot	-6.08	eV per atom
# formation enthalpy at 0 K	0.8	eV per formula unit